No. 1
# Na2TmPaSe4, relaxed, DFT GGA-PBE
data_Na2TmPaSe4
_space_group_name_H-M_alt 'P 1 2/m 1'
_space_group_IT_number 10
_space_group_name_Hall '-P 2y'
_cell_length_a 7.1479
_cell_length_b 4.0522
_cell_length_c 7.4753
_cell_angle_alpha 90.00
_cell_angle_beta 108.02
_cell_angle_gamma 90.00
loop_
_atom_site_label
_atom_site_type_symbol
_atom_site_fract_x
_atom_site_fract_y
_atom_site_fract_z
Na1 Na 0.0000 0.0000 0.0000
Na2 Na 0.5000 0.5000 0.0000
Tm1 Tm 0.0000 0.5000 0.5000
Pa1 Pa 0.5000 0.0000 0.5000
Se1 Se 0.2395 0.0000 0.7297
Se2 Se 0.2481 0.5000 0.2638
# Density of states at the Fermi level (states/eV/cell): 6.5
# Volume (A^3/atom): 25.737
# VASP energy (eV per cell): -42.2

No. 2
# RbTmPb2F8, relaxed, DFT GGA-PBE
data_RbTmPb2F8
_space_group_name_H-M_alt 'P 1 2/m 1'
_space_group_IT_number 10
_space_group_name_Hall '-P 2y'
_cell_length_a 4.1161
_cell_length_b 8.3060
_cell_length_c 6.0517
_cell_angle_alpha 90.00
_cell_angle_beta 90.14
_cell_angle_gamma 90.00
loop_
_atom_site_label
_atom_site_type_symbol
_atom_site_fract_x
_atom_site_fract_y
_atom_site_fract_z
Rb1 Rb 0.0000 0.0000 0.0000
Tm1 Tm 0.0000 0.5000 0.0000
Pb1 Pb 0.5000 0.2484 0.5000
F1 F 0.0007 0.2963 0.7602
F2 F 0.4986 0.0000 0.7132
F3 F 0.4992 0.5000 0.2004
# Density of states at the Fermi level (states/eV/cell): 0.0
# Volume (A^3/atom): 17.241
# VASP energy (eV per cell): -64.2

No. 3
# Sc3CuO, relaxed, DFT GGA-PBE
data_Sc3CuO
_space_group_name_H-M_alt 'P m -3 m'
_space_group_IT_number 221
_space_group_name_Hall '-P 4 2 3'
_cell_length_a 4.3466
_cell_length_b 4.3466
_cell_length_c 4.3466
_cell_angle_alpha 90.00
_cell_angle_beta 90.00
_cell_angle_gamma 90.00
loop_
_atom_site_label
_atom_site_type_symbol
_atom_site_fract_x
_atom_site_fract_y
_atom_site_fract_z
Sc1 Sc 0.0000 0.0000 0.5000
Cu1 Cu 0.5000 0.5000 0.5000
O1 O 0.0000 0.0000 0.0000
# Density of states at the Fermi level (states/eV/cell): 4.8
# Volume (A^3/atom): 16.424
# VASP energy (eV per cell): -34.4

No. 4
# KAs2Ru, relaxed, DFT GGA-PBE
data_KAs2Ru
_space_group_name_H-M_alt 'P 4/m m m'
_space_group_IT_number 123
_space_group_name_Hall '-P 4 2'
_cell_length_a 4.8134
_cell_length_b 4.8134
_cell_length_c 3.3665
_cell_angle_alpha 90.00
_cell_angle_beta 90.00
_cell_angle_gamma 90.00
loop_
_atom_site_label
_atom_site_type_symbol
_atom_site_fract_x
_atom_site_fract_y
_atom_site_fract_z
K1 K 0.0000 0.0000 0.0000
As1 As 0.0000 0.5000 0.5000
Ru1 Ru 0.5000 0.5000 0.0000
# Density of states at the Fermi level (states/eV/cell): 4.8
# Volume (A^3/atom): 19.499
# Formation enthalpy at 0 K (meV/atom): 682.5
# Energy above the most stable polymorph in this dataset (meV/atom): 887.2

No. 5
# Na2NbAl, relaxed, DFT GGA-PBE
data_Na2NbAl
_space_group_name_H-M_alt 'F m -3 m'
_space_group_IT_number 225
_space_group_name_Hall '-F 4 2 3'
_cell_length_a 7.0778
_cell_length_b 7.0778
_cell_length_c 7.0778
_cell_angle_alpha 90.00
_cell_angle_beta 90.00
_cell_angle_gamma 90.00
loop_
_atom_site_label
_atom_site_type_symbol
_atom_site_fract_x
_atom_site_fract_y
_atom_site_fract_z
Na1 Na 0.2500 0.2500 0.2500
Nb1 Nb 0.0000 0.0000 0.0000
Al1 Al 0.0000 0.0000 0.5000
# Density of states at the Fermi level (states/eV/cell): 18.5
# Volume (A^3/atom): 22.160
# Formation enthalpy at 0 K (meV/atom): 995.0
# Energy above the most stable polymorph in this dataset (meV/atom): 17.9

No. 6
# SmBiPd4, relaxed, DFT GGA-PBE
data_SmBiPd4
_space_group_name_H-M_alt 'F -4 3 m'
_space_group_IT_number 216
_space_group_name_Hall 'F -4 2 3'
_cell_length_a 7.7491
_cell_length_b 7.7491
_cell_length_c 7.7491
_cell_angle_alpha 90.00
_cell_angle_beta 90.00
_cell_angle_gamma 90.00
loop_
_atom_site_label
_atom_site_type_symbol
_atom_site_fract_x
_atom_site_fract_y
_atom_site_fract_z
Sm1 Sm 0.0000 0.0000 0.0000
Bi1 Bi 0.2500 0.2500 0.2500
Pd1 Pd 0.1254 0.1254 0.6254
# Density of states at the Fermi level (states/eV/cell): 26.1
# Volume (A^3/atom): 19.388
# Formation enthalpy at 0 K (meV/atom): -535.3
# Energy above the most stable polymorph in this dataset (meV/atom): 0.0

No. 7
# Ge4IrPd, relaxed, DFT GGA-PBE
data_Ge4IrPd
_space_group_name_H-M_alt 'C m m m'
_space_group_IT_number 65
_space_group_name_Hall '-C 2 2'
_cell_length_a 8.2815
_cell_length_b 8.3237
_cell_length_c 3.6296
_cell_angle_alpha 90.00
_cell_angle_beta 90.00
_cell_angle_gamma 90.00
loop_
_atom_site_label
_atom_site_type_symbol
_atom_site_fract_x
_atom_site_fract_y
_atom_site_fract_z
Ge1 Ge 0.0000 0.2074 0.0000
Ge2 Ge 0.2019 0.5000 0.5000
Ir1 Ir 0.0000 0.5000 0.0000
Pd1 Pd 0.0000 0.0000 0.5000
# Density of states at the Fermi level (states/eV/cell): 7.4
# Volume (A^3/atom): 20.850
# Formation enthalpy at 0 K (meV/atom): -67.0

No. 8
# La2Ge2H4Rh, relaxed, DFT GGA-PBE
data_La2Ge2H4Rh
_space_group_name_H-M_alt 'I 4/m m m'
_space_group_IT_number 139
_space_group_name_Hall '-I 4 2'
_cell_length_a 6.0199
_cell_length_b 6.0199
_cell_length_c 7.5531
_cell_angle_alpha 90.00
_cell_angle_beta 90.00
_cell_angle_gamma 90.00
loop_
_atom_site_label
_atom_site_type_symbol
_atom_site_fract_x
_atom_site_fract_y
_atom_site_fract_z
La1 La 0.0000 0.5000 0.2500
Ge1 Ge 0.0000 0.0000 0.1625
H1 H 0.2000 0.2000 0.5000
Rh1 Rh 0.0000 0.0000 0.5000
# Density of states at the Fermi level (states/eV/cell): 9.4
# Volume (A^3/atom): 15.207
# VASP energy (eV per cell): -86.1

No. 9
# ZrCd2Pd, relaxed, DFT GGA-PBE
data_ZrCd2Pd
_space_group_name_H-M_alt 'P 4/m m m'
_space_group_IT_number 123
_space_group_name_Hall '-P 4 2'
_cell_length_a 4.1135
_cell_length_b 4.1135
_cell_length_c 4.7190
_cell_angle_alpha 90.00
_cell_angle_beta 90.00
_cell_angle_gamma 90.00
loop_
_atom_site_label
_atom_site_type_symbol
_atom_site_fract_x
_atom_site_fract_y
_atom_site_fract_z
Zr1 Zr 0.0000 0.0000 0.0000
Cd1 Cd 0.0000 0.5000 0.5000
Pd1 Pd 0.5000 0.5000 0.0000
# Density of states at the Fermi level (states/eV/cell): 3.4
# Volume (A^3/atom): 19.962
# Formation enthalpy at 0 K (meV/atom): -204.7

No. 10
# Li5CuAu8, relaxed, DFT GGA-PBE
data_Li5CuAu8
_space_group_name_H-M_alt 'I -4'
_space_group_IT_number 82
_space_group_name_Hall 'I -4'
_cell_length_a 7.7055
_cell_length_b 7.7055
_cell_length_c 7.8365
_cell_angle_alpha 90.00
_cell_angle_beta 90.00
_cell_angle_gamma 90.00
loop_
_atom_site_label
_atom_site_type_symbol
_atom_site_fract_x
_atom_site_fract_y
_atom_site_fract_z
Li1 Li 0.0000 0.0000 0.0000
Li2 Li 0.1220 0.2205 0.4108
Cu1 Cu 0.0000 0.5000 0.7500
Au1 Au 0.0753 0.3335 0.0842
Au2 Au 0.0867 0.1744 0.7451
# Density of states at the Fermi level (states/eV/cell): 9.1
# Volume (A^3/atom): 16.617
# Formation enthalpy at 0 K (meV/atom): -294.1

No. 11
# Ac2AlN3, relaxed, DFT GGA-PBE
data_Ac2AlN3
_space_group_name_H-M_alt 'C m c e'
_space_group_IT_number 64
_space_group_name_Hall '-C 2ac 2'
_cell_length_a 5.8614
_cell_length_b 11.3352
_cell_length_c 12.3524
_cell_angle_alpha 90.00
_cell_angle_beta 90.00
_cell_angle_gamma 90.00
loop_
_atom_site_label
_atom_site_type_symbol
_atom_site_fract_x
_atom_site_fract_y
_atom_site_fract_z
Ac1 Ac 0.0000 0.0500 0.1470
Ac2 Ac 0.0000 0.1438 0.5797
Al1 Al 0.0000 0.2463 0.3362
N1 N 0.0000 0.0773 0.3667
N2 N 0.0000 0.1522 0.9629
N3 N 0.2500 0.2154 0.7500
# Volume (A^3/atom): 17.098
# VASP energy (eV per cell): -353.8

No. 12
# La5Nd2Sc, relaxed, DFT GGA-PBE
data_La5Nd2Sc
_space_group_name_H-M_alt 'C m m m'
_space_group_IT_number 65
_space_group_name_Hall '-C 2 2'
_cell_length_a 10.1289
_cell_length_b 14.8283
_cell_length_c 3.6934
_cell_angle_alpha 90.00
_cell_angle_beta 90.00
_cell_angle_gamma 90.00
loop_
_atom_site_label
_atom_site_type_symbol
_atom_site_fract_x
_atom_site_fract_y
_atom_site_fract_z
La1 La 0.0000 0.0000 0.0000
La2 La 0.2396 0.3802 0.5000
Nd1 Nd 0.0000 0.2480 0.0000
Sc1 Sc 0.0000 0.5000 0.0000
# Density of states at the Fermi level (states/eV/cell): 28.0
# Volume (A^3/atom): 34.670
# Formation enthalpy at 0 K (meV/atom): 32.7